The following is a DFT calculation (meta-GGA SCAN) of ZrRe2Pt at its PBEsol-relaxed geometry.

The structure in POSCAR format:
```
ZrRe2Pt
1.0
2.705 -4.727 0.000
2.705 4.727 0.000
-1.064 0.000 2.493
Zr Re Pt
1 2 1
Direct
0.000 0.000 0.000
0.000 0.500 0.500
0.500 0.000 0.500
0.500 0.500 0.000
```

Values from the calculation:
Fermi-level density of states   0.73 states/eV/atom
Space-group type   C2/m
DFT total energy   -4.4766 Ry per atom
Offset from the most stable computed form   0.1608 eV/atom